#1
Computed, not measured: a geometry-optimized Na4Tl2Bi structure at the PBE-GGA level of DFT.

Summary:
The space group is Cmmm (65). Its magnetization is 0.000 μB per atom.

a = 3.6664 Å, b = 5.5991 Å, c = 11.0152 Å
α = 104.72°, β = 90.00°, γ = 90.00°
With the nearest neighbours (Å) after each atom.
Sites, in units of the cell vectors:
Na 0.0000 0.0766 0.1532  2 Bi 3.24, 5 Na 3.27-3.53, 2 Tl 3.49
Na 0.5000 0.6291 0.2582  3 Tl 3.30-3.36, 2 Bi 3.31, 6 Na 3.53-3.67
Na 0.0000 0.9234 0.8468  2 Bi 3.24, 5 Na 3.27-3.53, 2 Tl 3.49
Na 0.5000 0.3709 0.7418  3 Tl 3.30-3.36, 2 Bi 3.31, 6 Na 3.53-3.67
Tl 0.5000 0.2160 0.4320  2 Tl 3.15, 5 Na 3.30-3.49
Tl 0.5000 0.7840 0.5680  2 Tl 3.15, 5 Na 3.30-3.49
Bi 0.0000 0.5000 0.0000  8 Na 3.24-3.31

---

#2
Computed, not measured: a geometry-optimized Na4Tl2Bi structure at the PBE-GGA level of DFT.

Summary:
The space group is P1 (1). Its magnetization is 0.000 μB per atom.

a = 5.8575 Å, b = 9.7965 Å, c = 9.2691 Å
α = 118.29°, β = 108.24°, γ = 95.45°
With the nearest neighbours (Å) after each atom.
Sites, in units of the cell vectors:
Na 0.9083 0.3919 0.0568  2 Bi 3.34-3.36, 4 Na 3.39-3.47, 6 Tl 3.39-3.59
Na 0.7805 0.0505 0.6508  6 Na 3.30-3.65, 3 Tl 3.35-3.50, 2 Bi 3.44-3.45
Na 0.8628 0.7175 0.6393  6 Na 3.29-3.63, 3 Tl 3.29-3.54, 3 Bi 3.32-3.42
Na 0.5033 0.7269 0.8522  6 Na 3.29-3.62, 2 Bi 3.34-3.50, 3 Tl 3.42-3.46
Na 0.4047 0.0605 0.8766  3 Bi 3.28-3.46, 5 Na 3.29-3.58, 2 Tl 3.29-3.42
Na 0.1889 0.0560 0.4244  3 Na 3.23-3.47, 2 Bi 3.33-3.43, 3 Tl 3.42-3.58
Na 0.1090 0.7287 0.0574  4 Na 3.23-3.45, 4 Tl 3.24-3.54, 2 Bi 3.36-3.52
Na 0.0733 0.3794 0.4435  4 Na 3.24-3.53, 5 Tl 3.30-3.62, 2 Bi 3.40-3.42
Tl 0.4885 0.3777 0.2642  6 Na 3.29-3.59, 2 Bi 3.35-3.63, 2 Tl 3.47-3.50
Tl 0.6698 0.7111 0.2337  7 Na 3.24-3.58, 2 Tl 3.34-3.50, 2 Bi 3.39-3.57
Tl 0.7126 0.3915 0.6657  3 Tl 3.32-3.47, 8 Na 3.35-3.62
Tl 0.2946 0.3797 0.8362  3 Tl 3.32-3.34, 8 Na 3.42-3.54
Bi 0.2636 0.7267 0.4555  9 Na 3.32-3.52, 3 Tl 3.39-3.63
Bi 0.9901 0.0520 0.0435  9 Na 3.28-3.45, 1 Tl 3.35

---

Structures ranked by computed energy, the most stable listed first: #2, #1.

---

#1
Computed, not measured: a geometry-optimized NaTl2Bi3 structure at the PBE-GGA level of DFT.

Summary:
The space group is P-1 (2). Its magnetization is 0.000 μB per atom.

a = 6.0870 Å, b = 6.0934 Å, c = 11.7176 Å
α = 107.39°, β = 111.66°, γ = 73.02°
With the nearest neighbours (Å) after each atom.
Sites, in units of the cell vectors:
Tl 0.5427 0.2854 0.0849  8 Bi 3.47-3.65, 2 Na 3.47-3.56, 2 Tl 3.53-3.55
Tl 0.4573 0.7146 0.9151  8 Bi 3.47-3.65, 2 Na 3.47-3.56, 2 Tl 3.53-3.55
Tl 0.2023 0.9575 0.4156  2 Na 3.47-3.57, 8 Bi 3.48-3.66, 2 Tl 3.53-3.54
Tl 0.7977 0.0425 0.5844  2 Na 3.47-3.57, 8 Bi 3.48-3.66, 2 Tl 3.53-3.54
Bi 0.6086 0.8598 0.2494  2 Bi 3.34-3.35, 6 Tl 3.50-3.57, 2 Na 3.63
Bi 0.2807 0.5258 0.5733  3 Bi 3.27-3.57, 3 Na 3.44-3.59, 5 Tl 3.48-3.65
Bi 0.3914 0.1402 0.7506  2 Bi 3.34-3.35, 6 Tl 3.50-3.57, 2 Na 3.63
Bi 0.0495 0.7880 0.0730  3 Bi 3.31-3.53, 3 Na 3.44-3.63, 5 Tl 3.47-3.66
Bi 0.7193 0.4742 0.4267  3 Bi 3.27-3.57, 3 Na 3.44-3.59, 5 Tl 3.48-3.65
Bi 0.9505 0.2120 0.9270  3 Bi 3.31-3.53, 3 Na 3.44-3.63, 5 Tl 3.47-3.66
Na 0.8752 0.6244 0.7499  8 Bi 3.44-3.63, 4 Tl 3.47-3.57
Na 0.1248 0.3756 0.2501  8 Bi 3.44-3.63, 4 Tl 3.47-3.57

---

#2
Computed, not measured: a geometry-optimized NaTl2Bi3 structure at the PBE-GGA level of DFT.

Summary:
The space group is Cmcm (63). Its magnetization is 0.000 μB per atom.

a = 6.7368 Å, b = 11.4483 Å, c = 7.5965 Å
α = 138.90°, β = 90.00°, γ = 90.00°
With the nearest neighbours (Å) after each atom.
Sites, in units of the cell vectors:
Bi 0.5000 0.1655 0.3309  4 Bi 3.31-3.37, 4 Tl 3.52-3.54, 2 Na 3.59
Bi 0.0000 0.8345 0.6691  4 Bi 3.31-3.37, 4 Tl 3.52-3.54, 2 Na 3.59
Bi 0.5000 0.8345 0.6691  4 Bi 3.31-3.37, 4 Tl 3.52-3.54, 2 Na 3.59
Bi 0.5000 0.5000 0.0000  4 Bi 3.34-3.37, 2 Na 3.46, 4 Tl 3.53
Bi 0.0000 0.1655 0.3309  4 Bi 3.31-3.37, 4 Tl 3.52-3.54, 2 Na 3.59
Bi 0.0000 0.5000 0.0000  4 Bi 3.34-3.37, 2 Na 3.46, 4 Tl 3.53
Tl 0.7500 0.1033 0.6627  1 Na 3.31, 1 Tl 3.37, 6 Bi 3.52-3.54
Tl 0.2500 0.8967 0.3373  1 Na 3.31, 1 Tl 3.37, 6 Bi 3.52-3.54
Tl 0.2500 0.5594 0.6627  1 Na 3.31, 1 Tl 3.37, 6 Bi 3.52-3.54
Tl 0.7500 0.4406 0.3373  1 Na 3.31, 1 Tl 3.37, 6 Bi 3.52-3.54
Na 0.7500 0.7640 0.0000  2 Tl 3.31, 6 Bi 3.46-3.59
Na 0.2500 0.2360 0.0000  2 Tl 3.31, 6 Bi 3.46-3.59

---

Structures ranked by computed energy, the most stable listed first: #2, #1.

---

#1
Computed, not measured: a geometry-optimized Na2Tl2Bi structure at the PBE-GGA level of DFT.

Summary:
The space group is C2/c (15). Its magnetization is 0.000 μB per atom.

a = 6.2766 Å, b = 6.2766 Å, c = 9.1095 Å
α = 98.55°, β = 113.34°, γ = 102.09°
With the nearest neighbours (Å) after each atom.
Sites, in units of the cell vectors:
Bi 0.3381 0.0881 0.7500  4 Tl 3.30-3.39, 6 Na 3.32-3.47
Bi 0.6619 0.9119 0.2500  4 Tl 3.30-3.39, 6 Na 3.32-3.47
Na 0.8004 0.1788 0.6521  4 Tl 3.22-3.56, 3 Bi 3.32-3.47
Na 0.5267 0.6483 0.8479  4 Tl 3.22-3.56, 3 Bi 3.32-3.47
Na 0.1996 0.8212 0.3479  4 Tl 3.22-3.56, 3 Bi 3.32-3.47
Na 0.4733 0.3517 0.1521  4 Tl 3.22-3.56, 3 Bi 3.32-3.47
Tl 0.1024 0.7827 0.9564  4 Na 3.22-3.56, 2 Bi 3.30-3.39, 2 Tl 3.34-3.37
Tl 0.1737 0.3540 0.4564  4 Na 3.22-3.56, 2 Bi 3.30-3.39, 2 Tl 3.34-3.37
Tl 0.8263 0.6460 0.5436  4 Na 3.22-3.56, 2 Bi 3.30-3.39, 2 Tl 3.34-3.37
Tl 0.8976 0.2173 0.0436  4 Na 3.22-3.56, 2 Bi 3.30-3.39, 2 Tl 3.34-3.37

---

#2
Computed, not measured: a geometry-optimized Na2Tl2Bi structure at the PBE-GGA level of DFT.

Summary:
The space group is I4/mmm (139). Its magnetization is 0.000 μB per atom.

a = 4.5319 Å, b = 4.5319 Å, c = 8.0886 Å
α = 73.73°, β = 73.73°, γ = 90.00°
With the nearest neighbours (Å) after each atom.
Sites, in units of the cell vectors:
Na 0.2500 0.7500 0.5000  4 Tl 3.19, 4 Na 3.20
Na 0.7500 0.2500 0.5000  4 Tl 3.19, 4 Na 3.20
Tl 0.5985 0.5985 0.8029  1 Tl 2.93, 4 Na 3.19
Tl 0.4015 0.4015 0.1971  1 Tl 2.93, 4 Na 3.19
Bi 0.0000 0.0000 0.0000  8 Tl 3.52

---

#3
Computed, not measured: a geometry-optimized Na2Tl2Bi structure at the PBE-GGA level of DFT.

Summary:
The space group is P4/mbm (127). Its magnetization is 0.000 μB per atom.

a = 8.9119 Å, b = 8.9119 Å, c = 3.6544 Å
α = 90.00°, β = 90.00°, γ = 90.00°
With the nearest neighbours (Å) after each atom.
Sites, in units of the cell vectors:
Tl 0.6274 0.1274 0.0000  6 Na 3.11-3.26, 1 Tl 3.21
Tl 0.8726 0.6274 0.0000  6 Na 3.11-3.26, 1 Tl 3.21
Tl 0.1274 0.3726 0.0000  6 Na 3.11-3.26, 1 Tl 3.21
Tl 0.3726 0.8726 0.0000  6 Na 3.11-3.26, 1 Tl 3.21
Na 0.1728 0.6728 0.5000  6 Tl 3.11-3.26
Na 0.3272 0.1728 0.5000  6 Tl 3.11-3.26
Na 0.8272 0.3272 0.5000  6 Tl 3.11-3.26
Na 0.6728 0.8272 0.5000  6 Tl 3.11-3.26
Bi 0.5000 0.5000 0.0000  4 Tl 3.51, 2 Bi 3.65, 8 Na 3.77
Bi 0.0000 0.0000 0.0000  4 Tl 3.51, 2 Bi 3.65, 8 Na 3.77

---

Structures ranked by computed energy, the most stable listed first: #1, #3, #2.